{
  "formula": "Hf2O3",
  "functional": "GGA-PBE",
  "state": "optimized geometry",
  "space_group": "C2/m",
  "final_energy_ev_per_cell": -98.30,
  "lattice": [[2.6766, -4.6023, 0.0000], [2.6766, 4.6023, 0.0000], [-1.5394, 0.0000, 5.1496]],
  "species": ["Hf", "Hf", "Hf", "Hf", "O", "O", "O", "O", "O", "O"],
  "frac_coords": [[0.0000, 0.0000, 0.0000], [0.1880, 0.8120, 0.5000], [0.5000, 0.5000, 0.5000], [0.8120, 0.1880, 0.5000], [0.0819, 0.3970, 0.2380], [0.2135, 0.2135, 0.7169], [0.3970, 0.0819, 0.2380], [0.6030, 0.9181, 0.7620], [0.7865, 0.7865, 0.2831], [0.9181, 0.6030, 0.7620]]
}